Entry from Alexandria: a relaxed La7NdEr3 crystal (PBE).

a = 7.3062 Å, b = 7.3062 Å, c = 8.6292 Å
α = 90.00°, β = 90.00°, γ = 120.00°
Fractional positions:
La1 0.0000 0.0000 0.0000
La2 0.0056 0.5028 0.0345
La3 0.1695 0.3390 0.6654
La4 0.1695 0.8305 0.6654
La5 0.4972 0.5028 0.0345
La6 0.4972 0.9944 0.0345
La7 0.6610 0.8305 0.6654
Nd1 0.6667 0.3333 0.6956
Er1 0.3338 0.1669 0.3499
Er2 0.8331 0.1669 0.3499
Er3 0.8331 0.6662 0.3499

Summary:
* final energy: -0.341 Ry per atom
* calculated density: 6.736 g cm⁻³
* ΔE_f: 0.18 eV per atom
* volume: 399 Å³/cell
* energy above the lowest structure with this stoichiometry: 0 kJ/mol of formula units

---

Entry from Alexandria: a relaxed LaNd3Er12 crystal (PBE).

a = 5.0308 Å, b = 5.0308 Å, c = 20.1391 Å
α = 90.00°, β = 90.00°, γ = 90.00°
Fractional positions:
La1 0.0000 0.0000 0.0000
Nd1 0.0000 0.0000 0.2503
Nd2 0.0000 0.0000 0.5000
Nd3 0.0000 0.0000 0.7497
Er1 0.0000 0.5000 0.1267
Er2 0.0000 0.5000 0.3754
Er3 0.0000 0.5000 0.6246
Er4 0.0000 0.5000 0.8733
Er5 0.5000 0.0000 0.1267
Er6 0.5000 0.0000 0.3754
Er7 0.5000 0.0000 0.6246
Er8 0.5000 0.0000 0.8733
Er9 0.5000 0.5000 0.0000
Er10 0.5000 0.5000 0.2511
Er11 0.5000 0.5000 0.5000
Er12 0.5000 0.5000 0.7489

Summary:
* final energy: -0.338 Ry per atom
* calculated density: 8.401 g cm⁻³
* ΔE_f: 0.03 eV per atom
* volume: 510 Å³/cell